# 1
Below is CsRb14Hg after structural relaxation, with properties calculated at the PBE level.

Summary:
Total moment   0.000 μB per atom
Total energy   -0.92 eV per atom

Cell lengths 13.999, 12.579, 15.634 Å; angles 90.00, 90.00, 90.00 degrees
Space group Amm2 (No. 38)
Unique sites:
Cs 0.000 0.000 0.000
Rb 0.000 0.230 0.743
Rb 0.199 0.186 0.491
Rb 0.232 0.000 0.226
Rb 0.271 0.000 0.778
Rb 0.500 0.000 0.011
Rb 0.500 0.000 0.531
Rb 0.500 0.222 0.271
Hg 0.000 0.000 0.371



# 2
Below is K2NpTe4Pb after structural relaxation, with properties calculated at the PBE level.

Summary:
Total moment   0.375 μB per atom
Total energy   -4.72 eV per atom
Raw formation energy   -0.790 eV/atom

Cell lengths 8.091, 4.623, 8.531 Å; angles 90.00, 107.75, 90.00 degrees
Space group P2/m (No. 10)
Unique sites:
K 0.000 0.000 0.000
K 0.500 0.500 0.000
Np 0.000 0.500 0.500
Te 0.221 0.000 0.706
Te 0.242 0.500 0.289
Pb 0.500 0.000 0.500



# 3
Below is BaTl2Re after structural relaxation, with properties calculated at the PBE level.

Summary:
Total moment   0.633 μB per atom
Total energy   -3.85 eV per atom

Cell lengths 4.747, 4.747, 5.094 Å; angles 90.00, 90.00, 90.00 degrees
Space group P4/mmm (No. 123)
Unique sites:
Ba 0.000 0.000 0.000
Tl 0.000 0.500 0.500
Re 0.500 0.500 0.000



# 4
Below is TmTePb after structural relaxation, with properties calculated at the PBE level.

Summary:
Total moment   0.000 μB per atom
Total energy   -4.34 eV per atom
Raw formation energy   -0.569 eV/atom

Cell lengths 8.8258, 8.8258, 3.9249 Å; angles 90.00, 90.00, 120.00 degrees
Space group P-62m (No. 189)
Unique sites:
Tm 0.0000 0.0000 0.0000
Tm 0.3333 0.6667 0.5000
Te 0.0000 0.7355 0.5000
Pb 0.0000 0.4314 0.0000